# 1
DFT (PBEsol) results for a geometry-optimized MnZn7 structure.

## Properties
Symmetry: Fm-3m
Final energy: -2.60 eV per atom

Cell: 5.3360 5.3360 5.3360 Å, 60.00 60.00 60.00°
With the nearest neighbours (Å) after each atom.
Element x y z (fractional)
Zn 0.5000 0.0000 0.5000  10 Zn 2.67, 2 Mn 2.67
Mn 0.0000 0.0000 0.0000  12 Zn 2.67
Zn 0.0000 0.5000 0.5000  10 Zn 2.67, 2 Mn 2.67
Zn 0.5000 0.5000 0.0000  2 Mn 2.67, 10 Zn 2.67
Zn 0.0000 0.0000 0.5000  10 Zn 2.67, 2 Mn 2.67
Zn 0.5000 0.0000 0.0000  10 Zn 2.67, 2 Mn 2.67
Zn 0.0000 0.5000 0.0000  10 Zn 2.67, 2 Mn 2.67
Zn 0.5000 0.5000 0.5000  12 Zn 2.67


# 2
DFT (PBEsol) results for a geometry-optimized Li3CoSiBO7 structure.

## Properties
E_form (uncorrected): -2.042 eV per atom
Symmetry: P2_1/m
Final energy: -6.90 eV per atom

Cell: 4.9431 6.0557 8.2560 Å, 90.00 95.74 90.00°
With the nearest neighbours (Å) after each atom.
Element x y z (fractional)
O 0.6073 0.2500 0.4789  1 Si 1.64
Li 0.2487 0.0042 0.7525  4 O 1.95-2.17
O 0.3588 0.7500 0.8884  1 B 1.34
Co 0.7985 0.2500 0.6856  6 O 1.83-1.94
O 0.1853 0.4488 0.3002  1 Si 1.65, 1 Co 1.83
O 0.4806 0.7500 0.1783  1 B 1.40
Li 0.2487 0.4958 0.7525  4 O 1.95-2.17
B 0.2901 0.7500 0.0413  3 O 1.34-1.40
Co 0.2015 0.7500 0.3144  6 O 1.83-1.94
O 0.1282 0.2500 0.5959  1 Si 1.61
O 0.6412 0.2500 0.1116  1 B 1.34
O 0.8147 0.5512 0.6998  1 Si 1.65, 1 Co 1.83
O 0.8147 0.9488 0.6998  1 Si 1.65, 1 Co 1.83
Li 0.2392 0.2500 0.1040  4 O 1.98-2.06
Si 0.2765 0.2500 0.4308  4 O 1.61-1.65
O 0.0296 0.7500 0.0925  1 B 1.40
Li 0.7608 0.7500 0.8960  4 O 1.98-2.06
O 0.5194 0.2500 0.8217  1 B 1.40
Li 0.7513 0.9958 0.2475  4 O 1.95-2.17
O 0.9704 0.2500 0.9075  1 B 1.40
Li 0.7513 0.5042 0.2475  4 O 1.95-2.17
B 0.7099 0.2500 0.9587  3 O 1.34-1.40
O 0.1853 0.0512 0.3002  1 Si 1.65, 1 Co 1.83
O 0.8718 0.7500 0.4041  1 Si 1.61
O 0.3927 0.7500 0.5211  1 Si 1.64
Si 0.7235 0.7500 0.5692  4 O 1.61-1.65


# 3
DFT (PBEsol) results for a geometry-optimized BeFeAs2 structure.

## Properties
Symmetry: Imm2
Relative energy among the computed polymorphs: 0.000 eV/atom
Final energy: -5.71 eV per atom

Cell: 2.9029 3.4910 6.1798 Å, 106.41 103.58 90.00°
With the nearest neighbours (Å) after each atom.
Element x y z (fractional)
As 0.2593 0.7593 0.5187  4 Fe 2.46, 2 Be 2.73
Be 0.5581 0.5581 0.1163  2 Fe 2.22, 4 As 2.35
Fe 0.6768 0.1768 0.3536  2 Be 2.22, 6 As 2.44-2.46
As 0.0057 0.0057 0.0114  4 Be 2.35, 2 Fe 2.44


# 4
DFT (PBEsol) results for a geometry-optimized YTi2IrBr structure.

## Properties
E_form (uncorrected): -0.019 eV per atom
Symmetry: P4/mmm
Final energy: -7.05 eV per atom

Cell: 4.7099 4.7099 5.5787 Å, 90.00 90.00 90.00°
With the nearest neighbours (Å) after each atom.
Element x y z (fractional)
Br 0.5000 0.5000 0.5000  4 Y 3.33, 8 Ti 3.65
Y 0.0000 0.0000 0.5000  2 Ir 2.79
Ti 0.0000 0.5000 0.0000  2 Ir 2.35
Ti 0.5000 0.0000 0.0000  2 Ir 2.35
Ir 0.0000 0.0000 0.0000  4 Ti 2.35


# 5
DFT (PBEsol) results for a geometry-optimized Al3PdF structure.

## Properties
E_form (uncorrected): -0.287 eV per atom
Symmetry: Pm-3m
Final energy: -4.32 eV per atom

Cell: 4.2210 4.2210 4.2210 Å, 90.00 90.00 90.00°
With the nearest neighbours (Å) after each atom.
Element x y z (fractional)
Al 0.5000 0.0000 0.0000  2 F 2.11
Pd 0.5000 0.5000 0.5000  12 Al 2.98
Al 0.0000 0.5000 0.0000  2 F 2.11
F 0.0000 0.0000 0.0000  6 Al 2.11
Al 0.0000 0.0000 0.5000  2 F 2.11


# 6
DFT (PBEsol) results for a geometry-optimized SrCoHg3 structure.

## Properties
Symmetry: Pm-3m
Final energy: -2.38 eV per atom

Cell: 4.9562 4.9562 4.9562 Å, 90.00 90.00 90.00°
With the nearest neighbours (Å) after each atom.
Element x y z (fractional)
Co 0.0000 0.0000 0.0000  6 Hg 2.48
Hg 0.5000 0.0000 0.0000  2 Co 2.48
Sr 0.5000 0.5000 0.5000  12 Hg 3.50
Hg 0.0000 0.0000 0.5000  2 Co 2.48
Hg 0.0000 0.5000 0.0000  2 Co 2.48


# 7
DFT (PBEsol) results for a geometry-optimized CdCo2Ir structure.

## Properties
Symmetry: Cmmm
Final energy: -6.22 eV per atom

Cell: 2.6499 2.6499 8.7870 Å, 90.00 90.00 116.35°
With the nearest neighbours (Å) after each atom.
Element x y z (fractional)
Co 0.0000 0.0000 0.7368  2 Ir 2.51, 6 Co 2.65-2.79, 2 Cd 2.70
Ir 0.5000 0.5000 0.5000  4 Co 2.51, 6 Ir 2.65-2.79
Co 0.0000 0.0000 0.2632  2 Ir 2.51, 6 Co 2.65-2.79, 2 Cd 2.70
Cd 0.5000 0.5000 0.0000  6 Cd 2.65-2.79, 4 Co 2.70


# 8
DFT (PBEsol) results for a geometry-optimized MnCrAs2Se structure.

## Properties
E_form (uncorrected): 0.565 eV per atom
Symmetry: P4/mmm
Final energy: -6.25 eV per atom

Cell: 4.4263 4.4263 5.1163 Å, 90.00 90.00 90.00°
With the nearest neighbours (Å) after each atom.
Element x y z (fractional)
Cr 0.5000 0.5000 0.5000  4 Se 3.13, 8 As 3.38
As 0.5000 0.0000 0.0000  2 Mn 2.21
Mn 0.0000 0.0000 0.0000  4 As 2.21
As 0.0000 0.5000 0.0000  2 Mn 2.21
Se 0.0000 0.0000 0.5000  2 Mn 2.56


# 9
DFT (PBEsol) results for a geometry-optimized MnBiO3 structure.

## Properties
E_form (uncorrected): -1.436 eV per atom
Symmetry: Pmn2_1
Final energy: -7.39 eV per atom

Cell: 5.4664 11.0902 15.6042 Å, 90.00 90.00 90.00°
With the nearest neighbours (Å) after each atom.
Element x y z (fractional)
O 0.2575 0.4938 0.8609  2 Mn 1.93-2.00
Mn 0.5045 0.1291 0.6237  6 O 1.95-2.06
Bi 0.4686 0.8716 0.0000  5 O 2.32-2.47
Mn 0.5107 0.6310 0.6274  6 O 1.93-2.04
O 0.9597 0.3433 0.7468  2 Mn 1.98-2.03
O 0.5384 0.5868 0.0000  2 Mn 2.00
Bi 0.9765 0.1311 0.2429  4 O 2.27-2.43
Bi 0.0235 0.6311 0.2571  4 O 2.27-2.43
Bi 0.9801 0.6318 0.5000  4 O 2.27-2.37
O 0.4616 0.0868 0.5000  2 Mn 2.00
O 0.2484 0.0130 0.3477  2 Mn 1.95-2.00
Mn 0.0055 0.8838 0.8763  6 O 1.98-2.05
O 0.2575 0.4938 0.1391  2 Mn 1.93-2.00
Bi 0.0318 0.1440 0.5000  5 O 2.33-2.43
Mn 0.0055 0.8838 0.1237  6 O 1.98-2.05
O 0.6789 0.2811 0.8850  2 Mn 1.97-2.04
O 0.7118 0.4910 0.6473  2 Mn 1.93-1.98
O 0.2124 0.5294 0.3645  2 Mn 1.99-2.01
Mn 0.5045 0.1291 0.3763  6 O 1.95-2.06
Bi 0.5325 0.3848 0.7597  6 O 2.31-2.49
O 0.9404 0.4022 0.0000  2 Mn 2.01
O 0.2470 0.7498 0.0923  2 Mn 1.97-2.05
O 0.7876 0.0294 0.1355  2 Mn 1.99-2.01
O 0.8199 0.7281 0.3768  2 Mn 1.99-2.01
Bi 0.5314 0.3716 0.5000  5 O 2.32-2.47
O 0.4539 0.6650 0.2459  2 Mn 1.96-2.04
O 0.5461 0.1650 0.2541  2 Mn 1.96-2.04
O 0.5649 0.6136 0.5000  2 Mn 2.02
O 0.2124 0.5294 0.6355  2 Mn 1.99-2.01
O 0.2882 0.9910 0.1473  2 Mn 1.93-1.98
O 0.7516 0.5130 0.8477  2 Mn 1.95-2.00
O 0.2523 0.2614 0.5964  2 Mn 2.00-2.06
Mn 0.4893 0.1310 0.1274  6 O 1.93-2.04
O 0.7425 0.9938 0.6391  2 Mn 1.93-2.00
O 0.7530 0.2498 0.4077  2 Mn 1.97-2.05
O 0.1801 0.2281 0.8768  2 Mn 1.99-2.01
O 0.7516 0.5130 0.1523  2 Mn 1.95-2.00
Mn 0.9945 0.3838 0.3763  6 O 1.98-2.05
O 0.2882 0.9910 0.8527  2 Mn 1.93-1.98
O 0.8199 0.7281 0.6232  2 Mn 1.99-2.01
O 0.7477 0.7614 0.9036  2 Mn 2.00-2.06
Mn 0.4955 0.6291 0.1237  6 O 1.95-2.06
Mn 0.0098 0.8815 0.3735  6 O 1.93-2.04
O 0.3211 0.7811 0.3850  2 Mn 1.97-2.04
O 0.9621 0.4272 0.5000  2 Mn 2.00
Mn 0.9945 0.3838 0.6237  6 O 1.98-2.05
O 0.0403 0.8433 0.2468  2 Mn 1.98-2.03
Mn 0.0098 0.8815 0.6265  6 O 1.93-2.04
O 0.2470 0.7498 0.9077  2 Mn 1.97-2.05
O 0.0596 0.9022 0.5000  2 Mn 2.01
O 0.3211 0.7811 0.6150  2 Mn 1.97-2.04
O 0.9597 0.3433 0.2532  2 Mn 1.98-2.03
O 0.0403 0.8433 0.7532  2 Mn 1.98-2.03
Bi 0.5325 0.3848 0.2403  6 O 2.31-2.49
Mn 0.9902 0.3815 0.8735  6 O 1.93-2.04
Bi 0.0235 0.6311 0.7429  4 O 2.27-2.43
Bi 0.0199 0.1318 0.0000  4 O 2.27-2.37
O 0.7876 0.0294 0.8645  2 Mn 1.99-2.01
Mn 0.4955 0.6291 0.8763  6 O 1.95-2.06
O 0.7425 0.9938 0.3609  2 Mn 1.93-2.00
Mn 0.9902 0.3815 0.1265  6 O 1.93-2.04
O 0.7118 0.4910 0.3527  2 Mn 1.93-1.98
O 0.7530 0.2498 0.5923  2 Mn 1.97-2.05
Mn 0.4893 0.1310 0.8726  6 O 1.93-2.04
Mn 0.5107 0.6310 0.3726  6 O 1.93-2.04
O 0.2523 0.2614 0.4036  2 Mn 2.00-2.06
Bi 0.9682 0.6440 0.0000  5 O 2.33-2.43
Bi 0.4675 0.8848 0.2597  6 O 2.31-2.49
O 0.0379 0.9272 0.0000  2 Mn 2.00
Bi 0.5215 0.3818 0.0000  4 O 2.28-2.30
O 0.1801 0.2281 0.1232  2 Mn 1.99-2.01
Bi 0.9765 0.1311 0.7571  4 O 2.27-2.43
O 0.4539 0.6650 0.7541  2 Mn 1.96-2.04
O 0.5461 0.1650 0.7459  2 Mn 1.96-2.04
Bi 0.4675 0.8848 0.7403  6 O 2.31-2.49
O 0.7477 0.7614 0.0964  2 Mn 2.00-2.06
Bi 0.4785 0.8818 0.5000  4 O 2.28-2.30
O 0.6789 0.2811 0.1150  2 Mn 1.97-2.04
O 0.2484 0.0130 0.6523  2 Mn 1.95-2.00
O 0.4351 0.1136 0.0000  2 Mn 2.02


# 10
DFT (PBEsol) results for a geometry-optimized TlPb2Cl5 structure.

## Properties
E_form (uncorrected): -1.095 eV per atom
Symmetry: P2_1/c
Final energy: -3.68 eV per atom

Cell: 7.7936 8.8188 12.3540 Å, 90.21 90.00 90.00°
With the nearest neighbours (Å) after each atom.
Element x y z (fractional)
Pb 0.9302 0.2531 0.4935  7 Cl 2.85-3.05
Cl 0.9593 0.2216 0.9985  3 Pb 2.93-3.05, 1 Tl 3.21
Pb 0.5165 0.0049 0.6767  8 Cl 2.89-3.23
Tl 0.9524 0.5112 0.1677  7 Cl 3.11-3.29
Cl 0.1658 0.0426 0.5980  4 Pb 2.92-3.05
Tl 0.5476 0.5112 0.6677  7 Cl 3.11-3.29
Cl 0.1589 0.2228 0.3126  2 Pb 2.87-2.89
Pb 0.9835 0.0049 0.1767  8 Cl 2.89-3.23
Cl 0.1892 0.7690 0.2777  3 Pb 2.91-3.09, 1 Tl 3.22
Cl 0.3244 0.4587 0.0855  2 Pb 2.85-2.87, 1 Tl 3.11
Tl 0.0476 0.4888 0.8323  7 Cl 3.11-3.29
Cl 0.6756 0.5413 0.9145  2 Pb 2.85-2.87, 1 Tl 3.11
Cl 0.3342 0.0426 0.0980  4 Pb 2.92-3.05
Tl 0.4524 0.4888 0.3323  7 Cl 3.11-3.29
Cl 0.6892 0.2310 0.2223  3 Pb 2.91-3.09, 1 Tl 3.22
Cl 0.3411 0.2228 0.8126  2 Pb 2.87-2.89
Pb 0.4835 0.9951 0.3233  8 Cl 2.89-3.23
Pb 0.0165 0.9951 0.8233  8 Cl 2.89-3.23
Cl 0.8411 0.7772 0.6874  2 Pb 2.87-2.89
Cl 0.5407 0.2216 0.4985  3 Pb 2.93-3.05, 1 Tl 3.21
Cl 0.6658 0.9574 0.9020  4 Pb 2.92-3.05
Cl 0.0407 0.7784 0.0015  3 Pb 2.93-3.05, 1 Tl 3.21
Pb 0.4302 0.7469 0.0065  7 Cl 2.85-3.05
Cl 0.8342 0.9574 0.4020  4 Pb 2.92-3.05
Cl 0.8244 0.5413 0.4145  2 Pb 2.85-2.87, 1 Tl 3.11
Cl 0.4593 0.7784 0.5015  3 Pb 2.93-3.05, 1 Tl 3.21
Cl 0.3108 0.7690 0.7777  3 Pb 2.91-3.09, 1 Tl 3.22
Cl 0.1756 0.4587 0.5855  2 Pb 2.85-2.87, 1 Tl 3.11
Cl 0.8108 0.2310 0.7223  3 Pb 2.91-3.09, 1 Tl 3.22
Pb 0.0698 0.7469 0.5065  7 Cl 2.85-3.05
Pb 0.5698 0.2531 0.9935  7 Cl 2.85-3.05
Cl 0.6589 0.7772 0.1874  2 Pb 2.87-2.89


# 11
DFT (PBEsol) results for a geometry-optimized AgRuCl structure.

## Properties
E_form (uncorrected): 0.415 eV per atom
Symmetry: P3m1
Final energy: -4.75 eV per atom

Cell: 2.9324 2.9324 6.4053 Å, 90.00 90.00 120.00°
With the nearest neighbours (Å) after each atom.
Element x y z (fractional)
Ag 0.0000 0.0000 0.0169  3 Ru 2.77, 6 Ag 2.93, 3 Cl 3.03
Ru 0.6667 0.3333 0.3594  3 Cl 2.39
Cl 0.3333 0.6667 0.6237  3 Ru 2.39


# 12
DFT (PBEsol) results for a geometry-optimized LiReNi2 structure.

## Properties
Symmetry: Pmmm
Relative energy among the computed polymorphs: 0.086 eV/atom
Final energy: -6.80 eV per atom

Cell: 2.5348 3.6487 5.1097 Å, 90.00 90.00 90.00°
With the nearest neighbours (Å) after each atom.
Element x y z (fractional)
Ni 0.0000 0.0000 0.7587  4 Ni 2.47-2.64, 4 Re 2.54, 4 Li 2.58
Li 0.5000 0.5000 0.5000  2 Li 2.53, 2 Re 2.55, 8 Ni 2.58
Re 0.5000 0.5000 0.0000  2 Re 2.53, 8 Ni 2.54, 2 Li 2.55
Ni 0.0000 0.0000 0.2413  4 Ni 2.47-2.64, 4 Re 2.54, 4 Li 2.58


Which of these has the lowest final energy?
MnBiO3


Please write out number 7 again, unchanged.
DFT (PBEsol) results for a geometry-optimized CdCo2Ir structure.

## Properties
Symmetry: Cmmm
Final energy: -6.22 eV per atom

Cell: 2.6499 2.6499 8.7870 Å, 90.00 90.00 116.35°
With the nearest neighbours (Å) after each atom.
Element x y z (fractional)
Co 0.0000 0.0000 0.7368  2 Ir 2.51, 6 Co 2.65-2.79, 2 Cd 2.70
Ir 0.5000 0.5000 0.5000  4 Co 2.51, 6 Ir 2.65-2.79
Co 0.0000 0.0000 0.2632  2 Ir 2.51, 6 Co 2.65-2.79, 2 Cd 2.70
Cd 0.5000 0.5000 0.0000  6 Cd 2.65-2.79, 4 Co 2.70